(1)
MnPW4 | the Alexandria database | PBE | relaxed; spin magnetization = 2.93 μB per formula unit; mass density = 13.335 Mg/m³; formation enthalpy at 0 K = 5.18 eV per formula unit; calculated total energy = -61.212 eV/f.u.
1.0
0.000 3.712 3.712
3.712 0.000 3.712
3.712 3.712 0.000
Mn P W
1 1 4
direct
0.000 0.000 0.000
0.250 0.250 0.250
0.123 0.626 0.626
0.626 0.123 0.626
0.626 0.626 0.123
0.626 0.626 0.626

***

(2)
Na4Tb3DyTe8 | the Alexandria database | PBE | relaxed; spin magnetization = 0.00 μB per formula unit; mass density = 5.634 Mg/m³; calculated total energy = -70.025 eV/f.u.
1.0
4.439 2.563 7.566
-4.439 2.563 7.566
0.000 -5.125 7.566
Na Tb Dy Te
4 3 1 8
direct
0.000 0.000 0.000
0.000 0.500 0.500
0.500 0.000 0.500
0.500 0.500 0.000
0.000 0.000 0.500
0.000 0.500 0.000
0.500 0.000 0.000
0.500 0.500 0.500
0.244 0.244 0.244
0.245 0.744 0.744
0.256 0.256 0.755
0.256 0.755 0.256
0.744 0.245 0.744
0.744 0.744 0.245
0.755 0.256 0.256
0.756 0.756 0.756

***

(3)
MnFe2W | the Alexandria database | PBE | relaxed; spin magnetization = 0.45 μB per formula unit; mass density = 12.006 Mg/m³; formation enthalpy at 0 K = 0.55 eV per formula unit; calculated total energy = -38.496 eV/f.u.
1.0
2.608 0.000 0.000
0.000 3.560 0.000
0.000 0.000 5.221
Mn Fe W
1 2 1
direct
0.000 0.000 0.000
0.500 0.500 0.229
0.500 0.500 0.771
0.000 0.000 0.500

***

(4)
LaAlCl2 | the Alexandria database | PBE | relaxed; spin magnetization = 0.01 μB per formula unit; mass density = 3.069 Mg/m³; calculated total energy = -16.705 eV/f.u.
1.0
3.485 0.000 0.000
0.000 3.485 0.000
0.000 0.000 10.550
La Al Cl
1 1 2
direct
0.000 0.000 0.000
0.000 0.000 0.500
0.500 0.500 0.158
0.500 0.500 0.842

***

(5)
Ca2RePd | the Alexandria database | PBE | relaxed; spin magnetization = 2.34 μB per formula unit; mass density = 6.765 Mg/m³; formation enthalpy at 0 K = 2.90 eV per formula unit; calculated total energy = -18.747 eV/f.u.
1.0
-3.944 3.944 2.941
3.944 -3.944 2.941
3.944 3.944 -2.941
Ca Re Pd
4 2 2
direct
0.103 0.625 0.978
0.375 0.353 0.478
0.647 0.125 0.022
0.875 0.897 0.522
0.250 0.750 0.500
0.500 0.500 0.000
0.000 0.000 0.000
0.750 0.250 0.500

***

(6)
ScTa2Se6 | the Alexandria database | PBE | relaxed; spin magnetization = 0.00 μB per formula unit; mass density = 6.386 Mg/m³; calculated total energy = -59.980 eV/f.u.
1.0
7.414 -1.798 0.000
7.414 1.798 0.000
-3.267 0.000 8.590
Sc Ta Se
1 2 6
direct
0.000 0.000 0.000
0.333 0.333 0.675
0.667 0.667 0.325
0.036 0.036 0.309
0.303 0.303 0.368
0.358 0.358 0.962
0.642 0.642 0.038
0.697 0.697 0.632
0.964 0.964 0.691

***

V values, unit Å³/cell, following the record order: 102 516 48 128 183 229.